PaHSe4, relaxed, DFT PBE-GGA; crystal system = monoclinic; ρ = 4.7 Mg/m³; E_tot = -5.133 eV per atom
1.0
5.270 1.208 0.000
-1.027 7.614 0.000
0.000 0.000 9.336
Se Pa H
8 2 2
Direct
0.521 0.316 0.250
0.008 0.355 0.560
0.479 0.684 0.750
0.992 0.645 0.060
0.008 0.355 0.940
0.974 0.020 0.750
0.026 0.980 0.250
0.992 0.645 0.440
0.014 0.352 0.250
0.986 0.648 0.750
0.302 0.948 0.250
0.698 0.052 0.750